Ca2Zn3CdGa4 | PBE-GGA | optimized geometry

## Properties
Total moment (μB per formula unit): 0.0
Crystal system: tetragonal
Energy relative to the elements (eV/atom): -0.307

Cell: 4.284 4.284 11.164 Å, 90.00 90.00 90.00°
Atoms (fractional coordinates):
Ca1 0.000 0.500 0.243
Ca2 0.500 0.000 0.757
Zn1 0.000 0.500 0.867
Zn2 0.500 0.000 0.133
Zn3 0.500 0.500 0.500
Cd1 0.000 0.000 0.500
Ga1 0.000 0.000 0.000
Ga2 0.000 0.500 0.646
Ga3 0.500 0.000 0.354
Ga4 0.500 0.500 0.000